{
  "formula": "NdAl3B4O12",
  "functional": "PBEsol",
  "state": "relaxed",
  "raw_formation_energy_mev_per_atom": -2861,
  "lattice": [[-0.0196, 4.7785, 3.5099], [-5.5559, -0.3831, -2.0344], [-0.7292, -7.7412, 7.9351]],
  "species": ["Nd", "Nd", "Al", "Al", "Al", "Al", "Al", "Al", "B", "B", "B", "B", "B", "B", "B", "B", "O", "O", "O", "O", "O", "O", "O", "O", "O", "O", "O", "O", "O", "O", "O", "O", "O", "O", "O", "O", "O", "O", "O", "O"],
  "frac_coords": [[0.9621, 0.0379, 0.7500], [0.0379, 0.9621, 0.2500], [0.4109, 0.5891, 0.7500], [0.5891, 0.4109, 0.2500], [0.6942, 0.1944, 0.4713], [0.8056, 0.3058, 0.0287], [0.3058, 0.8056, 0.5287], [0.1944, 0.6942, 0.9713], [0.2802, 0.2228, 0.0052], [0.7772, 0.7198, 0.4948], [0.7198, 0.7772, 0.9948], [0.2228, 0.2802, 0.5052], [0.4920, 0.1212, 0.7779], [0.8788, 0.5080, 0.7221], [0.5080, 0.8788, 0.2221], [0.1212, 0.4920, 0.2779], [0.2699, 0.3537, 0.2575], [0.6463, 0.7301, 0.2425], [0.7301, 0.6463, 0.7425], [0.3537, 0.2699, 0.7575], [0.1811, 0.6965, 0.3630], [0.3035, 0.8189, 0.1370], [0.8189, 0.3035, 0.6370], [0.6965, 0.1811, 0.8630], [0.9964, 0.1930, 0.4373], [0.8070, 0.0036, 0.0627], [0.0036, 0.8070, 0.5627], [0.1930, 0.9964, 0.9373], [0.6977, 0.4930, 0.4259], [0.5070, 0.3023, 0.0741], [0.3023, 0.5070, 0.5741], [0.4930, 0.6977, 0.9259], [0.3689, 0.1297, 0.4964], [0.8703, 0.6311, 0.0036], [0.6311, 0.8703, 0.5036], [0.1297, 0.3689, 0.9964], [0.8961, 0.4234, 0.2050], [0.5766, 0.1039, 0.2950], [0.1039, 0.5766, 0.7950], [0.4234, 0.8961, 0.7050]]
}